A plane-wave DFT calculation with GGA-PBE was carried out for a relaxed CeY2Zn2Ga2 crystal.

a = 4.448 Å, b = 4.448 Å, c = 9.766 Å
α = 76.84°, β = 76.84°, γ = 60.00°
Site moments in Bohr magnetons follow the coordinates.
Fractional positions:
Ga: 0.739 0.739 0.782  0.00
Y: 0.127 0.127 0.619  0.03
Y: 0.873 0.873 0.381  0.03
Zn: 0.399 0.399 0.804  0.01
Ce: 0.000 0.000 0.000  0.76
Zn: 0.601 0.601 0.196  0.01
Ga: 0.261 0.261 0.218  0.00

Results
Formation energy in meV per atom: -376.6
Volume in Å³ per cell: 161.4
DOS(E_F) in states/eV per atom: 1.117

---

A plane-wave DFT calculation with GGA-PBE was carried out for a relaxed BaBe2Pb crystal.

a = 4.052 Å, b = 4.219 Å, c = 6.167 Å
α = 70.14°, β = 90.00°, γ = 90.00°
Fractional positions:
Be: 0.000 0.124 0.124
Pb: 0.000 0.500 0.373
Be: 0.500 0.088 0.206
Ba: 0.500 0.788 0.798

Results
Formation energy in meV per atom: 173.0
Volume in Å³ per cell: 99.2
DOS(E_F) in states/eV per atom: 0.409

---

A plane-wave DFT calculation with GGA-PBE was carried out for a relaxed Li4Ge crystal.

a = 4.878 Å, b = 4.878 Å, c = 4.878 Å
α = 90.00°, β = 90.00°, γ = 90.00°
Fractional positions:
Li: 0.000 0.000 0.000
Li: 0.000 0.500 0.500
Li: 0.500 0.500 0.000
Li: 0.500 0.000 0.500
Ge: 0.500 0.500 0.500

Results
Formation energy in meV per atom: -45.7
Volume in Å³ per cell: 116.1
DOS(E_F) in states/eV per atom: 0.376
Offset from the most stable computed form in eV/atom: 0.180

---

A plane-wave DFT calculation with GGA-PBE was carried out for a relaxed TcAgW crystal.

a = 4.893 Å, b = 4.893 Å, c = 4.893 Å
α = 148.36°, β = 128.50°, γ = 61.71°
Fractional positions:
W: 0.332 0.332 0.000
Tc: 0.666 0.666 0.000
Ag: 0.001 0.001 0.000

Results
Formation energy in meV per atom: 469.5
Volume in Å³ per cell: 47.6
DOS(E_F) in states/eV per atom: 0.592
Offset from the most stable computed form in eV/atom: 0.113

---

A plane-wave DFT calculation with GGA-PBE was carried out for a relaxed RbDyMg2Br8 crystal.

a = 6.949 Å, b = 6.982 Å, c = 9.638 Å
α = 76.16°, β = 77.41°, γ = 76.01°
Fractional positions:
Br: 0.281 0.243 0.956
Br: 0.753 0.211 0.212
Mg: 0.455 0.448 0.713
Br: 0.719 0.757 0.044
Br: 0.642 0.688 0.480
Dy: 0.000 0.000 0.000
Mg: 0.545 0.552 0.287
Br: 0.185 0.725 0.225
Br: 0.815 0.275 0.775
Br: 0.358 0.312 0.520
Rb: 0.000 0.000 0.500
Br: 0.247 0.789 0.788

Results
Volume in Å³ per cell: 434.2
DOS(E_F) in states/eV per atom: 0.000
Formation energy from raw total energies in eV/atom: -1.60

---

A plane-wave DFT calculation with GGA-PBE was carried out for a relaxed Hf7Bi3H2 crystal.

a = 4.441 Å, b = 4.366 Å, c = 12.086 Å
α = 100.41°, β = 90.00°, γ = 90.00°
Fractional positions:
H: 0.000 0.908 0.816
Hf: 0.500 0.096 0.193
Hf: 0.000 0.404 0.807
Hf: 0.500 0.904 0.807
Bi: 0.500 0.500 0.000
Bi: 0.500 0.310 0.620
Hf: 0.000 0.000 0.000
Bi: 0.500 0.690 0.380
H: 0.000 0.092 0.184
Hf: 0.000 0.596 0.193
Hf: 0.000 0.200 0.400
Hf: 0.000 0.800 0.600

Results
Volume in Å³ per cell: 230.5
DOS(E_F) in states/eV per atom: 0.579
Raw total energy in eV/atom: -7.48

---

A plane-wave DFT calculation with GGA-PBE was carried out for a relaxed Mg2SbI crystal.

a = 4.418 Å, b = 4.418 Å, c = 8.236 Å
α = 74.44°, β = 74.44°, γ = 60.00°
Fractional positions:
Mg: 0.068 0.068 0.796
Sb: 0.667 0.667 0.000
I: 0.477 0.477 0.569
Mg: 0.288 0.288 0.135

Results
Volume in Å³ per cell: 132.4
Formation energy from raw total energies in eV/atom: -0.46
Offset from the most stable computed form in eV/atom: 0.069

---

A plane-wave DFT calculation with GGA-PBE was carried out for a relaxed TaCu2Te crystal.

a = 6.685 Å, b = 4.207 Å, c = 3.805 Å
α = 90.11°, β = 55.13°, γ = 122.41°
Fractional positions:
Cu: 0.500 0.000 0.500
Cu: 0.000 0.000 0.000
Ta: 0.000 0.500 0.500
Te: 0.500 0.500 0.000

Results
Volume in Å³ per cell: 66.6
DOS(E_F) in states/eV per atom: 0.509
Formation energy from raw total energies in eV/atom: 0.35

---

A plane-wave DFT calculation with GGA-PBE was carried out for a relaxed LaTeOs2 crystal.

a = 5.541 Å, b = 5.541 Å, c = 5.032 Å
α = 70.27°, β = 70.27°, γ = 43.68°
Fractional positions:
Os: 0.471 0.471 0.667
Os: 0.029 0.029 0.833
Te: 0.750 0.750 0.750
La: 0.250 0.250 0.250

Results
Volume in Å³ per cell: 99.4
DOS(E_F) in states/eV per atom: 0.739
Formation energy from raw total energies in eV/atom: 0.23

---

A plane-wave DFT calculation with GGA-PBE was carried out for a relaxed Sm6SnHg crystal.

a = 4.903 Å, b = 4.903 Å, c = 9.771 Å
α = 90.00°, β = 90.00°, γ = 90.00°
Fractional positions:
Sm: 0.500 0.500 0.500
Sm: 0.500 0.000 0.749
Sn: 0.000 0.000 0.500
Sm: 0.500 0.000 0.251
Sm: 0.000 0.500 0.749
Hg: 0.000 0.000 0.000
Sm: 0.500 0.500 0.000
Sm: 0.000 0.500 0.251

Results
Formation energy in meV per atom: -303.7
Volume in Å³ per cell: 234.9
DOS(E_F) in states/eV per atom: 1.712

---

A plane-wave DFT calculation with GGA-PBE was carried out for a relaxed MgSc2Cl crystal.

a = 3.186 Å, b = 3.186 Å, c = 8.441 Å
α = 90.00°, β = 90.00°, γ = 90.00°
Site moments in Bohr magnetons follow the coordinates.
Fractional positions:
Sc: 0.000 0.000 0.018  0.51
Sc: 0.000 0.000 0.482  0.51
Cl: 0.500 0.500 0.250  -0.01
Mg: 0.500 0.500 0.750  0.00

Results
Volume in Å³ per cell: 85.7
DOS(E_F) in states/eV per atom: 1.024
Formation energy from raw total energies in eV/atom: -0.41
Offset from the most stable computed form in eV/atom: 0.202

---

Q: Which of these has the lowest volume?
A: TcAgW

---

Q: The lowest volume belongs to which entry?
A: TcAgW